[1]
A plane-wave DFT calculation with PBE was carried out for a geometry-optimized PmEuIn2 structure.

Lattice parameters (Å, degrees): 4.4844 5.0965 5.0965 90.00 90.00 90.00
With the nearest neighbours (Å) after each atom.
Positions (direct):
Eu: 0.5000 0.5000 0.5000  8 In 3.39, 4 Pm 3.60
Pm: 0.5000 0.0000 0.0000  8 In 3.39, 4 Eu 3.60
In: 0.0000 0.0000 0.5000  4 Pm 3.39, 4 Eu 3.39, 4 In 3.60
In: 0.0000 0.5000 0.0000  4 Pm 3.39, 4 Eu 3.39, 4 In 3.60

Output
Mass density ... 7.5 g/cm³
Symmetry ... P4/mmm, No. 123
DFT formation energy ... -0.46 eV/atom

[2]
A plane-wave DFT calculation with PBE was carried out for a geometry-optimized InPAu structure.

Lattice parameters (Å, degrees): 3.8834 9.8179 7.0961 90.00 90.00 90.00
With the nearest neighbours (Å) after each atom.
Positions (direct):
P: 0.7500 0.8521 0.1745  3 Au 2.41-2.57
P: 0.7500 0.3521 0.3255  3 Au 2.41-2.57
P: 0.2500 0.6479 0.6745  3 Au 2.41-2.57
P: 0.2500 0.1479 0.8255  3 Au 2.41-2.57
In: 0.7500 0.9510 0.7622  3 P 2.78-3.08, 1 Au 2.83
In: 0.2500 0.0490 0.2378  3 P 2.78-3.08, 1 Au 2.83
In: 0.2500 0.5490 0.2622  3 P 2.78-3.08, 1 Au 2.83
In: 0.7500 0.4510 0.7378  3 P 2.78-3.08, 1 Au 2.83
Au: 0.2500 0.7536 0.9812  3 P 2.41-2.57
Au: 0.7500 0.2464 0.0188  3 P 2.41-2.57
Au: 0.7500 0.7464 0.4812  3 P 2.41-2.57
Au: 0.2500 0.2536 0.5188  3 P 2.41-2.57

Output
Mass density ... 8.4 g/cm³
Relative energy among the computed polymorphs ... 0.0000 eV per atom
Symmetry ... Pnma, No. 62
DFT formation energy ... 0.03 eV/atom

[3]
A plane-wave DFT calculation with PBE was carried out for a geometry-optimized Sm2Ga5Ru3 structure.

Lattice parameters (Å, degrees): 5.7708 8.6527 8.6527 69.40 70.52 70.52
With the nearest neighbours (Å) after each atom.
Positions (direct):
Ru: 0.2500 0.0000 0.0000  6 Ga 2.56-2.61
Ru: 0.7500 0.0000 0.0000  6 Ga 2.56-2.61
Ru: 0.6518 0.4260 0.2704  5 Ga 2.50-2.56
Ru: 0.8482 0.7296 0.5740  5 Ga 2.50-2.56
Ru: 0.1518 0.2704 0.4260  5 Ga 2.50-2.56
Ru: 0.3482 0.5740 0.7296  5 Ga 2.50-2.56
Ga: 0.7500 0.5000 0.5000  4 Ru 2.56
Ga: 0.4506 0.7994 0.7994  3 Ru 2.52-2.61, 2 Ga 2.78
Ga: 0.9506 0.7994 0.7994  3 Ru 2.52-2.61, 2 Ga 2.78
Ga: 0.0494 0.2006 0.2006  3 Ru 2.52-2.61, 2 Ga 2.78
Ga: 0.2500 0.5000 0.5000  4 Ru 2.56
Ga: 0.9166 0.8986 0.2681  3 Ru 2.50-2.56, 2 Ga 2.78
Ga: 0.5834 0.7319 0.1014  3 Ru 2.50-2.56, 2 Ga 2.78
Ga: 0.0834 0.1014 0.7319  3 Ru 2.50-2.56, 2 Ga 2.78
Ga: 0.5494 0.2006 0.2006  3 Ru 2.52-2.61, 2 Ga 2.78
Ga: 0.4166 0.2681 0.8986  3 Ru 2.50-2.56, 2 Ga 2.78
Sm: 0.6434 0.1284 0.5848  4 Ru 3.02-3.28, 9 Ga 3.07-3.35
Sm: 0.3566 0.8716 0.4152  4 Ru 3.02-3.28, 9 Ga 3.07-3.35
Sm: 0.8566 0.4152 0.8716  4 Ru 3.02-3.28, 9 Ga 3.07-3.35
Sm: 0.1434 0.5848 0.1284  4 Ru 3.02-3.28, 9 Ga 3.07-3.35

Output
Mass density ... 8.6 g/cm³
Symmetry ... Ibam, No. 72
DFT formation energy ... -0.53 eV/atom

[4]
A plane-wave DFT calculation with PBE was carried out for a geometry-optimized ReTc2TeIr structure.

Lattice parameters (Å, degrees): 4.7626 4.7554 4.7626 90.00 90.00 90.00
With the nearest neighbours (Å) after each atom.
Positions (direct):
Te: 0.0000 0.0000 0.0000  2 Ir 2.38, 4 Tc 2.38
Ir: 0.0000 0.5000 0.0000  2 Te 2.38
Re: 0.5000 0.5000 0.5000  8 Tc 3.37, 4 Ir 3.37
Tc: 0.0000 0.0000 0.5000  2 Te 2.38
Tc: 0.5000 0.0000 0.0000  2 Te 2.38

Output
Mass density ... 10.8 g/cm³
Uncorrected formation energy ... 11.64 eV per formula unit
Symmetry ... P4/mmm, No. 123

[5]
A plane-wave DFT calculation with PBE was carried out for a geometry-optimized KCeTm4Se8 structure.

Lattice parameters (Å, degrees): 8.4669 8.4669 8.6537 60.71 60.71 60.00
With the nearest neighbours (Å) after each atom.
Positions (direct):
Se: 0.7509 0.2316 0.2666  3 Tm 2.74-2.98
Se: 0.7576 0.7576 0.7273  4 Tm 2.82-2.99
Se: 0.7950 0.2420 0.7210  2 Tm 2.75, 1 Ce 2.89, 1 K 2.96
Se: 0.2316 0.7509 0.2666  3 Tm 2.74-2.98
Se: 0.2331 0.2331 0.3006  3 Tm 2.77, 1 K 2.94
Se: 0.2420 0.7950 0.7210  2 Tm 2.75, 1 Ce 2.89, 1 K 2.96
Se: 0.7509 0.7509 0.2666  3 Tm 2.74-2.98
Se: 0.2420 0.2420 0.7210  2 Tm 2.75, 1 Ce 2.89, 1 K 2.96
K: 0.3703 0.3703 0.8890  4 Se 2.94-2.96
Ce: 0.0045 0.0045 0.9866  6 Se 2.89-3.09
Tm: 0.0048 0.4864 0.5040  6 Se 2.75-2.99
Tm: 0.6261 0.6261 0.1216  4 Se 2.74-2.82
Tm: 0.4864 0.0048 0.5040  6 Se 2.75-2.99
Tm: 0.0048 0.0048 0.5040  6 Se 2.75-2.99

Output
Mass density ... 5.6 g/cm³
Uncorrected formation energy ... -23.86 eV per formula unit
Symmetry ... R3m, No. 160

[6]
A plane-wave DFT calculation with PBE was carried out for a geometry-optimized MnSbHRh2 structure.

Lattice parameters (Å, degrees): 4.8761 4.7876 4.8761 90.00 90.00 90.00
With the nearest neighbours (Å) after each atom.
Positions (direct):
Rh: 0.0000 0.0000 0.5000  2 Sb 2.44
Rh: 0.5000 0.0000 0.0000  2 Sb 2.44
Mn: 0.0000 0.5000 0.0000  2 Sb 2.39
H: 0.5000 0.5000 0.5000  8 Rh 3.42, 4 Mn 3.45
Sb: 0.0000 0.0000 0.0000  2 Mn 2.39, 4 Rh 2.44

Output
Mass density ... 5.6 g/cm³
Relative energy among the computed polymorphs ... 2.0084 eV per atom
Symmetry ... P4/mmm, No. 123

[7]
A plane-wave DFT calculation with PBE was carried out for a geometry-optimized NaCaNO2 structure.

Lattice parameters (Å, degrees): 4.4805 4.4805 4.7642 90.00 90.00 90.00
With the nearest neighbours (Å) after each atom.
Positions (direct):
N: 0.0000 0.0000 0.5000  2 Ca 2.38
O: 0.0000 0.5000 0.0000  2 Ca 2.24
O: 0.5000 0.0000 0.0000  2 Ca 2.24
Ca: 0.0000 0.0000 0.0000  4 O 2.24, 2 N 2.38
Na: 0.5000 0.5000 0.5000  4 N 3.17, 8 O 3.27

Output
Mass density ... 1.9 g/cm³
Uncorrected formation energy ... -0.72 eV per formula unit
Symmetry ... P4/mmm, No. 123

[8]
A plane-wave DFT calculation with PBE was carried out for a geometry-optimized Sc2Zn5Cu2Rh structure.

Lattice parameters (Å, degrees): 4.0775 8.7200 8.7200 90.00 90.00 90.00
With the nearest neighbours (Å) after each atom.
Positions (direct):
Zn: 0.5000 0.0000 0.5000  4 Cu 2.47, 4 Zn 2.64
Zn: 0.5000 0.2029 0.0583  3 Zn 2.60-2.64, 2 Cu 2.64, 2 Rh 2.75
Zn: 0.5000 0.4417 0.2971  3 Zn 2.60-2.64, 2 Cu 2.64, 2 Rh 2.75
Zn: 0.5000 0.0583 0.7971  3 Zn 2.60-2.64, 2 Cu 2.64, 2 Rh 2.75
Zn: 0.5000 0.2971 0.5583  3 Zn 2.60-2.64, 2 Cu 2.64, 2 Rh 2.75
Zn: 0.5000 0.5583 0.7029  3 Zn 2.60-2.64, 2 Cu 2.64, 2 Rh 2.75
Zn: 0.5000 0.9417 0.2029  3 Zn 2.60-2.64, 2 Cu 2.64, 2 Rh 2.75
Zn: 0.5000 0.7029 0.4417  3 Zn 2.60-2.64, 2 Cu 2.64, 2 Rh 2.75
Zn: 0.5000 0.5000 0.0000  4 Cu 2.47, 4 Zn 2.64
Zn: 0.5000 0.7971 0.9417  3 Zn 2.60-2.64, 2 Cu 2.64, 2 Rh 2.75
Sc: 0.0000 0.1818 0.3182  3 Cu 2.53-2.64
Sc: 0.0000 0.6818 0.1818  3 Cu 2.53-2.64
Sc: 0.0000 0.3182 0.8182  3 Cu 2.53-2.64
Sc: 0.0000 0.8182 0.6818  3 Cu 2.53-2.64
Rh: 0.0000 0.0000 0.0000  8 Zn 2.75
Rh: 0.0000 0.5000 0.5000  8 Zn 2.75
Cu: 0.0000 0.3872 0.1128  6 Zn 2.47-2.64, 3 Sc 2.53-2.64
Cu: 0.0000 0.8872 0.3872  6 Zn 2.47-2.64, 3 Sc 2.53-2.64
Cu: 0.0000 0.1128 0.6128  6 Zn 2.47-2.64, 3 Sc 2.53-2.64
Cu: 0.0000 0.6128 0.8872  6 Zn 2.47-2.64, 3 Sc 2.53-2.64

Output
Mass density ... 6.9 g/cm³
Symmetry ... P4/mbm, No. 127
DFT formation energy ... -0.29 eV/atom